Li3BN2 | GGA-PBE | relaxed

Calculated values
Magnetic moment in Bohr magnetons per cell: 0.000
ΔE_f (raw) in eV per atom: -0.839
Space-group type: P4_2/mnm (136)
DOS(E_F) in states/eV per atom: 0.000
Offset from the most stable computed form in meV/atom: 3

Unit cell a=4.676 b=4.676 c=5.239 alpha=90.00 beta=90.00 gamma=90.00
Element x y z (fractional)
Li 0.000 0.000 0.000
Li 0.000 0.500 0.250
Li 0.000 0.500 0.750
Li 0.500 0.000 0.250
Li 0.500 0.000 0.750
Li 0.500 0.500 0.500
B 0.000 0.000 0.500
B 0.500 0.500 0.000
N 0.204 0.204 0.500
N 0.296 0.704 0.000
N 0.704 0.296 0.000
N 0.796 0.796 0.500